(1)
# B2Pd6S, optimized geometry, DFT GGA-PBE
data_B2Pd6S
_cell_length_a 9.7636
_cell_length_b 4.2387
_cell_length_c 7.6254
_cell_angle_alpha 90.00
_cell_angle_beta 114.24
_cell_angle_gamma 90.00
_symmetry_space_group_name_H-M 'C 1 2/m 1'
_symmetry_Int_Tables_number 12
_symmetry_space_group_name_Hall '-C 2y'
loop_
_atom_site_label
_atom_site_fract_x
_atom_site_fract_y
_atom_site_fract_z
B1 0.1743 0.0000 0.0849
Pd1 0.0101 0.0000 0.1881
Pd2 0.1348 0.5000 0.6624
Pd3 0.1896 0.5000 0.0769
S1 0.0000 0.0000 0.5000
# Calculated volume, A^3/atom: 15.99
# Total magnetic moment, μB per atom: 0.0000
# E_form (uncorrected), eV per atom: -0.117
# Total DFT energy (no corrections), eV/atom: -5.5215

=====

(2)
# BaNaAg2N, optimized geometry, DFT GGA-PBE
data_BaNaAg2N
_cell_length_a 5.2341
_cell_length_b 5.2341
_cell_length_c 4.8142
_cell_angle_alpha 90.00
_cell_angle_beta 90.00
_cell_angle_gamma 90.00
_symmetry_space_group_name_H-M 'P 4/m m m'
_symmetry_Int_Tables_number 123
_symmetry_space_group_name_Hall '-P 4 2'
loop_
_atom_site_label
_atom_site_fract_x
_atom_site_fract_y
_atom_site_fract_z
Ba1 0.0000 0.0000 0.0000
Na1 0.5000 0.5000 0.5000
Ag1 0.0000 0.5000 0.5000
N1 0.5000 0.5000 0.0000
# Calculated volume, A^3/atom: 26.38
# Total magnetic moment, μB per atom: 0.3148
# E_form (uncorrected), eV per atom: 0.720
# Total DFT energy (no corrections), eV/atom: -2.7343